Material: NiH3O
Method: DFT, GGA-PBEsol
State: optimized geometry

Spin magnetization ... 0.0 μB/f.u.
Fermi-level density of states ... 0.7 states/eV per cell
Uncorrected energy ... -17.8 eV for the cell shown

Unit cell a=3.0428 b=3.0428 c=3.0428 alpha=90.00 beta=90.00 gamma=90.00
Closest atoms and distances in Å follow each position.
Space group Pm-3m (No. 221)
Inequivalent atoms, fractional coordinates:
Ni (0.0000, 0.0000, 0.0000) (multiplicity 1)  12 H 2.15
H (0.0000, 0.5000, 0.5000) (multiplicity 3)  2 O 1.52
O (0.5000, 0.5000, 0.5000) (multiplicity 1)  6 H 1.52